Record 1
Compound: NaZnSnS3
Source: the Alexandria database
Functional: PBE
Structure: optimized geometry

The value obtained for the formation energy (no corrections) is -0.65 eV/atom.

It has space group P2_1/m (No. 11), with a = 7.919 Å, b = 3.785 Å, c = 9.776 Å, α = 90.00°, β = 100.56° and γ = 90.00°. Symmetry generates all atoms from Na at (0.222, 0.250, 0.274), Zn at (0.091, 0.250, 0.600), Sn at (0.331, 0.750, 0.870), S at (0.088, 0.250, 0.838), S at (0.215, 0.750, 0.514) and S at (0.415, 0.750, 0.138).

=====

Record 2
Compound: RbIrOs
Source: the Alexandria database
Functional: PBE
Structure: optimized geometry

The value obtained for the formation energy is 0.59 eV per atom. Its polymorph energy (0 for the lowest one) is 50 meV per atom.

It has space group Cm (No. 8), with a = 12.723 Å, b = 4.455 Å, c = 5.158 Å, α = 90.00°, β = 90.38° and γ = 90.00°. Symmetry generates all atoms from Rb at (0.000, 0.000, 0.000), Rb at (0.039, 0.500, 0.499), Ir at (0.271, 0.000, 0.248), Ir at (0.295, 0.500, 0.501), Os at (0.244, 0.500, 0.999) and Os at (0.270, 0.000, 0.747).

=====

Record 3
Compound: TlInPb3
Source: the Alexandria database
Functional: PBE
Structure: optimized geometry

The value obtained for the formation energy is 0.00 eV per atom. Its polymorph energy (0 for the lowest one) is 2 meV per atom.

It has space group P-1 (No. 2), with a = 3.566 Å, b = 8.736 Å, c = 10.110 Å, α = 102.41°, β = 90.42° and γ = 90.56°. Symmetry generates all atoms from Tl at (0.250, 0.047, 0.157), In at (0.251, 0.251, 0.754), Pb at (0.246, 0.455, 0.350), Pb at (0.248, 0.845, 0.538) and Pb at (0.253, 0.645, 0.953).

=====

no.,M_tot (μB per atom)
1,0.000
2,0.000
3,0.000